Compound: CrMo3
Source: the Alexandria database
Functional: SCAN
Structure: single point on PBEsol structure

Lattice parameters (Å, degrees): 5.066 5.066 5.066 116.99 116.99 116.99
Fractional coordinates of all 4 atoms:
Cr  0.000  0.000  0.000
Mo  0.000  0.500  0.500
Mo  0.500  0.000  0.500
Mo  0.500  0.500  0.000

**ΔE_f**: 82.4 meV per atom
**SG**: R-3m, No. 166
**Crystal system**: trigonal